No. 1
A relaxed structure of YEr2UN4. Source: Alexandria via LeMat-Bulk, functional PBE.

The structure in POSCAR format:
```
YEr2UN4
1.0
-3.115 1.109 -0.946
-1.694 -5.616 -1.005
-1.213 1.408 5.645
N U Er Y
4 1 2 1
Direct
0.000 0.764 0.242
0.000 0.236 0.758
0.500 0.242 0.245
0.500 0.758 0.755
0.000 0.000 0.000
0.500 0.000 0.500
0.000 0.500 0.500
0.500 0.500 0.000
```

Computed properties:
formation energy from raw total energies = -1.65 eV/atom



No. 2
A relaxed structure of MgPd5Au. Source: Alexandria via LeMat-Bulk, functional PBE.

The structure in POSCAR format:
```
MgPd5Au
1.0
7.285 0.000 0.000
0.000 5.029 0.000
-3.643 -2.515 4.487
Pd Au Mg
5 1 1
Direct
0.404 0.252 0.504
0.825 0.500 0.000
0.900 0.748 0.496
0.132 0.753 0.000
0.132 0.247 0.000
0.453 0.500 0.000
0.684 0.000 0.000
```

Computed properties:
calculated formation energy = 44 kJ/mol of atoms
offset from the most stable computed form = 0.5715 eV/atom



No. 3
A relaxed structure of SrPt2Pb. Source: Alexandria via LeMat-Bulk, functional PBE.

The structure in POSCAR format:
```
SrPt2Pb
1.0
6.039 0.000 0.000
0.000 6.039 0.000
3.019 3.019 7.414
Pt Pb Sr
4 2 2
Direct
0.375 0.323 0.750
0.677 0.125 0.250
0.073 0.625 0.250
0.875 0.927 0.750
0.750 0.250 0.500
0.000 0.000 0.000
0.250 0.750 0.500
0.500 0.500 0.000
```

Computed properties:
calculated formation energy = -7 kJ/mol of atoms



No. 4
A relaxed structure of ScAsSe2Br. Source: Alexandria via LeMat-Bulk, functional PBE.

The structure in POSCAR format:
```
ScAsSe2Br
1.0
5.097 0.000 0.000
0.000 5.097 0.000
0.000 0.000 5.044
Sc Se Br As
1 2 1 1
Direct
0.500 0.500 0.500
0.000 0.500 0.000
0.500 0.000 0.000
0.000 0.000 0.000
0.000 0.000 0.500
```

Computed properties:
formation energy from raw total energies = 0.53 eV/atom
offset from the most stable computed form = 0.7834 eV/atom